No. 1
Computed, not measured: a relaxed structure of Mg3AlW at the PBE level of DFT.

Cell and atoms, written as POSCAR:
```
Mg3AlW
1.0
5.0093 0.0000 0.0000
0.0000 5.0093 0.0000
0.0000 0.0000 5.0093
Mg Al W
3 1 1
Direct
0.0000 0.0000 0.5000
0.0000 0.5000 0.0000
0.5000 0.0000 0.0000
0.0000 0.0000 0.0000
0.5000 0.5000 0.5000
```

Properties
Distance to the lowest polymorph of the same formula, eV per atom: 0.023
Total magnetization, Bohr magnetons per cell: 4.03
Symmetry: Pm-3m (221)

=====

No. 2
Computed, not measured: a relaxed structure of AcY2Al at the PBE level of DFT.

Cell and atoms, written as POSCAR:
```
AcY2Al
1.0
3.6431 0.0000 0.0000
0.0000 3.6431 0.0000
0.0000 0.0000 9.2638
Ac Y Al
1 2 1
Direct
0.0000 0.0000 0.0000
0.5000 0.5000 0.3021
0.5000 0.5000 0.6979
0.0000 0.0000 0.5000
```

Properties
Distance to the lowest polymorph of the same formula, eV per atom: 0.000
Total magnetization, Bohr magnetons per cell: 0.00
Symmetry: P4/mmm (123)

=====

No. 3
Computed, not measured: a relaxed structure of IrW8 at the PBE level of DFT.

Cell and atoms, written as POSCAR:
```
IrW8
1.0
-4.7350 4.7350 1.6109
4.7350 -4.7350 1.6109
4.7350 4.7350 -1.6109
Ir W
1 8
Direct
0.0000 0.0000 0.0000
0.0000 0.3313 0.3313
0.0000 0.6687 0.6687
0.3313 0.0000 0.3313
0.3317 0.3317 0.6633
0.3317 0.6683 0.0000
0.6683 0.3317 0.0000
0.6683 0.6683 0.3367
0.6687 0.0000 0.6687
```

Properties
Total magnetization, Bohr magnetons per cell: 0.00
Uncorrected energy, eV per atom: -12.418
Symmetry: I4/mmm (139)

=====

No. 4
Computed, not measured: a relaxed structure of Cs2LiSe2 at the PBE level of DFT.

Cell and atoms, written as POSCAR:
```
Cs2LiSe2
1.0
8.0256 0.0000 0.0000
0.0000 8.0256 0.0000
0.0000 0.0000 5.5350
Cs Li Se
4 2 4
Direct
0.1593 0.3407 0.0000
0.3407 0.8407 0.0000
0.6593 0.1593 0.0000
0.8407 0.6593 0.0000
0.0000 0.0000 0.5000
0.5000 0.5000 0.5000
0.1487 0.6487 0.5000
0.3513 0.1487 0.5000
0.6487 0.8513 0.5000
0.8513 0.3513 0.5000
```

Properties
Total magnetization, Bohr magnetons per cell: 2.00
Energy relative to the elements, uncorrected, eV/atom: -0.74
Symmetry: P4/mbm (127)

=====

No. 5
Computed, not measured: a relaxed structure of Ac2Tl8Cd at the PBE level of DFT.

Cell and atoms, written as POSCAR:
```
Ac2Tl8Cd
1.0
5.1716 0.0000 0.0000
0.0000 5.1716 0.0000
0.0000 0.0000 12.8043
Ac Tl Cd
2 8 1
Direct
0.0000 0.0000 0.1890
0.0000 0.0000 0.8110
0.0000 0.5000 0.0000
0.0000 0.5000 0.3693
0.0000 0.5000 0.6307
0.5000 0.0000 0.0000
0.5000 0.0000 0.3693
0.5000 0.0000 0.6307
0.5000 0.5000 0.1883
0.5000 0.5000 0.8117
0.0000 0.0000 0.5000
```

Properties
Total magnetization, Bohr magnetons per cell: 0.00
Uncorrected energy, eV per atom: -2.747
Symmetry: P4/mmm (123)

=====

No. 6
Computed, not measured: a relaxed structure of CsZrBr3 at the PBE level of DFT.

Cell and atoms, written as POSCAR:
```
CsZrBr3
1.0
5.5789 0.0000 0.0000
0.0000 5.5789 0.0000
0.0000 0.0000 5.5789
Cs Zr Br
1 1 3
Direct
0.0000 0.0000 0.0000
0.5000 0.5000 0.5000
0.0000 0.5000 0.5000
0.5000 0.0000 0.5000
0.5000 0.5000 0.0000
```

Properties
Total magnetization, Bohr magnetons per cell: 2.00
Energy relative to the elements, uncorrected, eV/atom: -1.22
Symmetry: Pm-3m (221)